# 1
# La6Ga2SBr3

A relaxed La6Ga2SBr3 crystal (PBE-GGA, Alexandria via LeMat-Bulk).

extended XYZ file:
```
12
Lattice="-1.717 -6.637 3.079 2.497 0.313 -7.081 6.642 1.428 3.732" Properties=species:S:1:pos:R:3 pbc="T T T"
Br 2.329 -4.727 3.197
Br 3.711 -2.448 -0.135
Br 5.093 -0.168 -3.467
Ga -0.310 -4.316 -0.313
Ga 1.090 -2.007 -3.689
S 0.000 0.000 0.000
La 2.067 -4.410 -2.159
La 5.355 -0.486 1.889
La 6.451 -2.580 -1.807
La 0.971 -2.316 1.537
La 2.346 -0.048 -1.778
La 5.076 -4.848 1.508
```

Results
**E_form (uncorrected)**: -14.92 eV per formula unit
**Crystal system**: monoclinic
**Total moment**: 0.000 μB per atom
**Calculated density**: 5754 kg/m³


# 2
# Cs3LiTh2S6

A relaxed Cs3LiTh2S6 crystal (PBE-GGA, Alexandria via LeMat-Bulk).

extended XYZ file:
```
12
Lattice="-1.191 7.237 0.491 -5.579 -4.723 0.767 3.573 -1.137 7.516" Properties=species:S:1:pos:R:3 pbc="T T T"
S -0.169 2.503 1.658
S -1.722 -1.730 1.756
S -1.475 3.106 7.018
S 0.981 -0.209 6.525
S -3.028 -1.126 7.116
S -4.178 1.585 2.249
Li 0.000 0.000 0.000
Cs -3.100 -3.403 4.482
Cs -0.097 4.780 4.292
Cs -1.598 0.688 4.387
Th -4.119 -0.743 0.675
Th -2.651 3.257 0.583
```

Results
**E_form (uncorrected)**: -19.81 eV per formula unit
**Crystal system**: monoclinic
**Total moment**: 0.000 μB per atom
**Calculated density**: 4691 kg/m³


# 3
# HoZr3Sn2

A relaxed HoZr3Sn2 crystal (PBE-GGA, Alexandria via LeMat-Bulk).

extended XYZ file:
```
12
Lattice="4.284 0.000 0.000 -2.142 9.597 -0.344 0.000 -4.623 7.422" Properties=species:S:1:pos:R:3 pbc="T T T"
Zr 0.000 6.002 1.398
Zr 2.142 5.849 3.807
Zr 2.142 1.405 3.490
Zr 2.142 -1.027 5.681
Zr 0.000 3.569 3.588
Zr 0.000 -0.874 3.271
Sn 0.000 5.577 5.767
Sn 2.142 -0.602 1.311
Sn 0.000 1.088 5.664
Sn 2.142 3.886 1.414
Ho 2.142 3.194 6.439
Ho 0.000 1.781 0.640
```

Results
**Crystal system**: monoclinic
**Total moment**: 0.000 μB per atom
**Calculated density**: 7525 kg/m³
**Formation enthalpy at 0 K**: -0.391 eV/atom


# 4
# FePd3N

A relaxed FePd3N crystal (PBE-GGA, Alexandria via LeMat-Bulk).

extended XYZ file:
```
5
Lattice="4.129 0.000 0.000 0.000 4.129 0.000 0.000 0.000 4.129" Properties=species:S:1:pos:R:3 pbc="T T T"
Pd 0.000 2.064 0.000
Pd 0.000 0.000 2.064
Pd 2.064 0.000 0.000
Fe 2.064 2.064 2.064
N 0.000 0.000 0.000
```

Results
**Excess energy over the best structure of this formula in the dataset**: 0 meV/atom
**E_form (uncorrected)**: 2.00 eV per formula unit
**Crystal system**: cubic
**Total moment**: 0.737 μB per atom
**Calculated density**: 9181 kg/m³


# 5
# La4Bi

A relaxed La4Bi crystal (PBE-GGA, Alexandria via LeMat-Bulk).

extended XYZ file:
```
5
Lattice="-1.373 -5.953 0.827 5.649 -1.568 -1.908 2.052 0.333 5.804" Properties=species:S:1:pos:R:3 pbc="T T T"
La 0.000 0.000 0.000
La 3.851 -0.617 1.948
La 2.138 -3.761 -0.540
La 0.340 -2.810 3.316
Bi 3.164 -3.594 2.362
```

Results
**Crystal system**: cubic
**Total moment**: 0.351 μB per atom
**Calculated density**: 5418 kg/m³
**Formation enthalpy at 0 K**: 0.107 eV/atom


# 6
# HfIn2Pt2

A relaxed HfIn2Pt2 crystal (PBE-GGA, Alexandria via LeMat-Bulk).

extended XYZ file:
```
10
Lattice="7.068 0.000 0.000 0.000 7.068 0.000 0.000 0.000 4.010" Properties=species:S:1:pos:R:3 pbc="T T T"
In 5.884 2.350 2.005
In 4.718 5.884 2.005
In 2.350 1.184 2.005
In 1.184 4.718 2.005
Pt 6.095 4.507 0.000
Pt 0.973 2.561 0.000
Pt 4.507 0.973 0.000
Pt 2.561 6.095 0.000
Hf 3.534 3.534 0.000
Hf 0.000 0.000 0.000
```

Results
**Excess energy over the best structure of this formula in the dataset**: 0 meV/atom
**Crystal system**: tetragonal
**Total moment**: 0.000 μB per atom
**Calculated density**: 13233 kg/m³
**Formation enthalpy at 0 K**: -0.482 eV/atom


# 7
# BeTcSb2

A relaxed BeTcSb2 crystal (PBE-GGA, Alexandria via LeMat-Bulk).

extended XYZ file:
```
4
Lattice="-0.257 -4.399 1.247 1.631 -3.998 -1.527 4.267 0.128 2.924" Properties=species:S:1:pos:R:3 pbc="T T T"
Sb 2.817 -4.345 1.289
Sb 1.377 -8.186 -0.246
Be 4.231 -6.202 1.983
Tc 1.410 -2.067 0.661
```

Results
**E_form (uncorrected)**: 1.72 eV per formula unit
**Crystal system**: monoclinic
**Total moment**: 0.000 μB per atom
**Calculated density**: 7852 kg/m³


# 8
# CsLa3Te

A relaxed CsLa3Te crystal (PBE-GGA, Alexandria via LeMat-Bulk).

extended XYZ file:
```
5
Lattice="-5.029 -0.270 -2.993 -2.531 -2.767 4.501 -1.621 5.157 2.258" Properties=species:S:1:pos:R:3 pbc="T T T"
Te -4.590 1.060 1.883
La -1.266 -1.383 2.251
La -0.810 2.578 1.129
La -2.514 -0.135 -1.497
Cs 0.000 0.000 0.000
```

Results
**E_form (uncorrected)**: 3.52 eV per formula unit
**Crystal system**: cubic
**Total moment**: 0.006 μB per atom
**Calculated density**: 5593 kg/m³


# 9
# K2SnHg6Pb

A relaxed K2SnHg6Pb crystal (PBE-GGA, Alexandria via LeMat-Bulk).

extended XYZ file:
```
10
Lattice="8.341 0.002 0.007 0.003 8.341 0.007 4.177 4.176 5.845" Properties=species:S:1:pos:R:3 pbc="T T T"
K 4.176 8.344 2.929
K 8.345 4.175 2.929
Sn 0.000 0.000 0.000
Hg 2.058 6.286 0.007
Hg 6.288 6.287 0.011
Hg 6.286 2.057 0.007
Hg 8.346 8.344 2.889
Hg 4.175 4.175 2.969
Hg 6.233 6.232 5.847
Pb 4.172 4.172 0.007
```

Results
**Crystal system**: monoclinic
**Total moment**: 0.000 μB per atom
**Calculated density**: 6573 kg/m³
**Formation enthalpy at 0 K**: -0.032 eV/atom


# 10
# TlP2Au

A relaxed TlP2Au crystal (PBE-GGA, Alexandria via LeMat-Bulk).

extended XYZ file:
```
4
Lattice="3.038 1.409 3.428 -1.491 0.308 4.544 1.567 -3.149 3.255" Properties=species:S:1:pos:R:3 pbc="T T T"
Au 0.000 0.000 0.000
P 0.778 -0.358 2.807
P 2.335 -1.074 8.420
Tl 1.557 -0.716 5.613
```

Results
**Excess energy over the best structure of this formula in the dataset**: 758 meV/atom
**Crystal system**: cubic
**Total moment**: 0.000 μB per atom
**Calculated density**: 9888 kg/m³
**Formation enthalpy at 0 K**: 0.728 eV/atom


# 11
# Li2CdAu4

A relaxed Li2CdAu4 crystal (PBE-GGA, Alexandria via LeMat-Bulk).

extended XYZ file:
```
14
Lattice="9.176 0.000 0.000 0.000 5.059 -2.342 0.000 -0.249 6.103" Properties=species:S:1:pos:R:3 pbc="T T T"
Li 4.587 0.698 1.500
Li 9.175 1.583 3.432
Li 0.001 3.228 0.329
Li 4.589 4.112 2.261
Au 2.295 -0.039 3.013
Au 6.883 2.320 1.919
Au 2.293 2.491 1.842
Au 2.524 4.116 -1.905
Au 6.652 0.695 5.666
Au 2.064 1.586 -0.734
Au 7.112 3.225 4.495
Au 6.881 4.850 0.748
Cd 4.588 2.530 -1.171
Cd 0.000 0.000 0.000
```

Results
**Excess energy over the best structure of this formula in the dataset**: 0 meV/atom
**Crystal system**: orthorhombic
**Total moment**: 0.000 μB per atom
**Calculated density**: 10920 kg/m³
**Formation enthalpy at 0 K**: -0.259 eV/atom


# 12
# CsTe2Br8

A relaxed CsTe2Br8 crystal (PBE-GGA, Alexandria via LeMat-Bulk).

extended XYZ file:
```
11
Lattice="-5.217 -1.353 -2.061 3.840 -8.692 -4.005 -3.791 0.023 9.599" Properties=species:S:1:pos:R:3 pbc="T T T"
Br -2.238 -1.968 2.231
Br -5.360 -3.950 3.440
Br -2.930 -8.054 1.302
Br -1.261 -8.002 -2.959
Br 0.193 -6.072 0.092
Br -2.189 -5.850 4.657
Br -2.979 -4.172 -1.124
Br -3.907 -2.020 6.491
Te -2.431 -6.753 -0.944
Te -2.737 -3.269 4.477
Cs -3.791 0.023 9.599
```

Results
**E_form (uncorrected)**: -5.59 eV per formula unit
**Crystal system**: triclinic
**Total moment**: 0.000 μB per atom
**Calculated density**: 3208 kg/m³


The lowest calculated density belongs to which entry? CsTe2Br8


What is the formula in the first record? La6Ga2SBr3


Repeat the tenth record exactly.
# TlP2Au

A relaxed TlP2Au crystal (PBE-GGA, Alexandria via LeMat-Bulk).

extended XYZ file:
```
4
Lattice="3.038 1.409 3.428 -1.491 0.308 4.544 1.567 -3.149 3.255" Properties=species:S:1:pos:R:3 pbc="T T T"
Au 0.000 0.000 0.000
P 0.778 -0.358 2.807
P 2.335 -1.074 8.420
Tl 1.557 -0.716 5.613
```

Results
**Excess energy over the best structure of this formula in the dataset**: 758 meV/atom
**Crystal system**: cubic
**Total moment**: 0.000 μB per atom
**Calculated density**: 9888 kg/m³
**Formation enthalpy at 0 K**: 0.728 eV/atom